[1]
VASP calculation (GGA-PBEsol) on a geometry-optimized Ca3AsCl structure.

## Properties
- energy relative to the elements, uncorrected (eV per atom) = -0.685

Lattice parameters (Å, degrees): 5.111 5.111 5.111 90.00 90.00 90.00
Element x y z (fractional)
As: 0.500 0.500 0.500
Ca: 0.000 0.500 0.000
Ca: 0.000 0.000 0.500
Ca: 0.500 0.000 0.000
Cl: 0.000 0.000 0.000


[2]
VASP calculation (GGA-PBEsol) on a geometry-optimized FeTeSe structure.

## Properties
- energy relative to the elements, uncorrected (eV per atom) = -0.176

Lattice parameters (Å, degrees): 3.522 3.522 5.473 90.00 90.00 120.00
Last column: magnetic moment on the atom in μB.
Element x y z (fractional)
Fe: 0.000 0.000 0.978  1.07
Se: 0.667 0.333 0.761  -0.01
Te: 0.333 0.667 0.260  -0.02


[3]
VASP calculation (GGA-PBEsol) on a geometry-optimized NaLaTl3 structure.

## Properties
- ΔE_f (eV/atom) = 0.43

Lattice parameters (Å, degrees): 6.032 6.032 6.032 90.00 90.00 90.00
Element x y z (fractional)
Na: 0.500 0.500 0.500
Tl: 0.000 0.500 0.000
Tl: 0.000 0.000 0.500
Tl: 0.500 0.000 0.000
La: 0.000 0.000 0.000


[4]
VASP calculation (GGA-PBEsol) on a geometry-optimized SbMoOs2 structure.

## Properties
- energy relative to the elements, uncorrected (eV per atom) = 0.412

Lattice parameters (Å, degrees): 2.921 4.713 4.881 98.97 107.41 90.00
Element x y z (fractional)
Mo: 0.738 0.240 0.476
Os: 0.002 0.982 0.003
Os: 0.262 0.784 0.524
Sb: 0.498 0.494 0.997


[5]
VASP calculation (GGA-PBEsol) on a geometry-optimized Cr2CoTc structure.

## Properties
- ΔE_f (eV/atom) = 0.10

Lattice parameters (Å, degrees): 3.569 3.602 3.602 90.00 90.00 90.00
Element x y z (fractional)
Co: 0.500 0.000 0.000
Cr: 0.000 0.000 0.500
Cr: 0.000 0.500 0.000
Tc: 0.500 0.500 0.500


[6]
VASP calculation (GGA-PBEsol) on a geometry-optimized Be2PtSe structure.

## Properties
- energy relative to the elements, uncorrected (eV per atom) = -0.387

Lattice parameters (Å, degrees): 3.409 3.536 5.245 90.00 108.45 90.00
Element x y z (fractional)
Be: 0.124 0.000 0.874
Be: 0.623 0.500 0.869
Pt: 0.486 0.000 0.589
Se: 0.268 0.500 0.167


[7]
VASP calculation (GGA-PBEsol) on a geometry-optimized AlSbOs3 structure.

## Properties
- energy relative to the elements, uncorrected (eV per atom) = 2.440

Lattice parameters (Å, degrees): 4.728 4.728 4.728 90.00 90.00 90.00
Element x y z (fractional)
Sb: 0.000 0.000 0.000
Os: 0.000 0.500 0.000
Os: 0.000 0.000 0.500
Os: 0.500 0.000 0.000
Al: 0.500 0.500 0.500


[8]
VASP calculation (GGA-PBEsol) on a geometry-optimized BaNaTaSn2 structure.

## Properties
- ΔE_f (eV/atom) = 1.21

Lattice parameters (Å, degrees): 5.271 5.271 5.392 90.00 90.00 90.00
Last column: magnetic moment on the atom in μB.
Element x y z (fractional)
Na: 0.000 0.000 0.000  0.00
Ba: 0.000 0.000 0.500  0.07
Sn: 0.000 0.500 0.000  -0.05
Sn: 0.500 0.000 0.000  -0.05
Ta: 0.500 0.500 0.500  1.86


[9]
VASP calculation (GGA-PBEsol) on a geometry-optimized HoTmRu2 structure.

## Properties
- ΔE_f (eV/atom) = -0.33

Lattice parameters (Å, degrees): 4.686 4.686 4.686 60.00 60.00 60.00
Element x y z (fractional)
Ru: 0.250 0.250 0.250
Ru: 0.750 0.750 0.750
Tm: 0.000 0.000 0.000
Ho: 0.500 0.500 0.500


[10]
VASP calculation (GGA-PBEsol) on a geometry-optimized Sc3AgN structure.

## Properties
- energy relative to the elements, uncorrected (eV per atom) = -1.011
- E above lowest polymorph (eV per atom) = 0.0000

Lattice parameters (Å, degrees): 6.146 6.148 6.204 119.70 119.61 90.00
Element x y z (fractional)
Sc: 0.750 0.740 0.000
Sc: 0.250 0.260 0.000
Sc: 0.208 0.708 0.510
Sc: 0.292 0.198 0.490
Sc: 0.792 0.292 0.490
Sc: 0.708 0.802 0.510
Ag: 0.250 0.748 0.000
Ag: 0.750 0.252 0.000
N: 0.000 0.000 0.500
N: 0.500 0.500 0.500


[11]
VASP calculation (GGA-PBEsol) on a geometry-optimized Ba4SrCo structure.

## Properties
- ΔE_f (eV/atom) = 0.86

Lattice parameters (Å, degrees): 7.353 7.353 7.353 60.00 60.00 60.00
Last column: magnetic moment on the atom in μB.
Element x y z (fractional)
Ba: 0.377 0.377 0.377  0.02
Ba: 0.377 0.377 0.870  0.02
Ba: 0.870 0.377 0.377  0.02
Ba: 0.377 0.870 0.377  0.02
Co: 0.750 0.750 0.750  -2.04
Sr: 0.000 0.000 0.000  0.00


[12]
VASP calculation (GGA-PBEsol) on a geometry-optimized MgSc2Al structure.

## Properties
- ΔE_f (eV/atom) = -0.29
- E above lowest polymorph (eV per atom) = 0.0000

Lattice parameters (Å, degrees): 4.859 4.859 4.859 60.00 60.00 60.00
Element x y z (fractional)
Sc: 0.250 0.250 0.250
Sc: 0.750 0.750 0.750
Mg: 0.000 0.000 0.000
Al: 0.500 0.500 0.500


[13]
VASP calculation (GGA-PBEsol) on a geometry-optimized Zr4MnPt structure.

## Properties
- ΔE_f (eV/atom) = 0.36

Lattice parameters (Å, degrees): 5.486 5.486 5.486 60.00 60.00 60.00
Last column: magnetic moment on the atom in μB.
Element x y z (fractional)
Mn: 0.750 0.750 0.750  3.75
Pt: 0.000 0.000 0.000  0.04
Zr: 0.375 0.375 0.375  -0.08
Zr: 0.375 0.375 0.875  -0.08
Zr: 0.875 0.375 0.375  -0.08
Zr: 0.375 0.875 0.375  -0.08


[14]
VASP calculation (GGA-PBEsol) on a geometry-optimized Nb3CdBr structure.

## Properties
- energy relative to the elements, uncorrected (eV per atom) = 1.020

Lattice parameters (Å, degrees): 4.720 4.720 4.720 90.00 90.00 90.00
Element x y z (fractional)
Nb: 0.000 0.500 0.000
Nb: 0.000 0.000 0.500
Nb: 0.500 0.000 0.000
Br: 0.000 0.000 0.000
Cd: 0.500 0.500 0.500


[15]
VASP calculation (GGA-PBEsol) on a geometry-optimized PrGaO3 structure.

## Properties
- energy relative to the elements, uncorrected (eV per atom) = -1.076

Lattice parameters (Å, degrees): 4.520 4.520 4.520 90.00 90.00 90.00
Last column: magnetic moment on the atom in μB.
Element x y z (fractional)
Pr: 0.500 0.500 0.500  0.04
Ga: 0.000 0.000 0.000  0.04
O: 0.000 0.500 0.500  0.55
O: 0.500 0.000 0.500  0.55
O: 0.500 0.500 0.000  0.55


[16]
VASP calculation (GGA-PBEsol) on a geometry-optimized CuRe3Si structure.

## Properties
- energy relative to the elements, uncorrected (eV per atom) = 1.571

Lattice parameters (Å, degrees): 4.347 4.347 4.347 90.00 90.00 90.00
Element x y z (fractional)
Re: 0.000 0.500 0.000
Re: 0.000 0.000 0.500
Re: 0.500 0.000 0.000
Si: 0.000 0.000 0.000
Cu: 0.500 0.500 0.500


[17]
VASP calculation (GGA-PBEsol) on a geometry-optimized SrBePIr2 structure.

## Properties
- ΔE_f (eV/atom) = 0.20

Lattice parameters (Å, degrees): 4.321 4.321 4.375 90.00 90.00 90.00
Element x y z (fractional)
Sr: 0.500 0.500 0.500
Ir: 0.000 0.500 0.000
Ir: 0.500 0.000 0.000
Be: 0.000 0.000 0.000
P: 0.000 0.000 0.500


[18]
VASP calculation (GGA-PBEsol) on a geometry-optimized MnB4 structure.

## Properties
- ΔE_f (eV/atom) = -0.35
- E above lowest polymorph (eV per atom) = 0.0000

Lattice parameters (Å, degrees): 5.332 5.380 5.418 114.57 90.00 90.00
Element x y z (fractional)
Mn: 0.001 0.271 0.278
Mn: 0.501 0.729 0.222
Mn: 0.999 0.729 0.722
Mn: 0.499 0.271 0.778
B: 0.819 0.872 0.123
B: 0.319 0.128 0.377
B: 0.181 0.128 0.877
B: 0.681 0.872 0.623
B: 0.813 0.365 0.639
B: 0.313 0.635 0.861
B: 0.187 0.635 0.361
B: 0.687 0.365 0.139
B: 0.870 0.671 0.323
B: 0.370 0.329 0.177
B: 0.130 0.329 0.677
B: 0.630 0.671 0.823
B: 0.870 0.163 0.843
B: 0.370 0.837 0.657
B: 0.130 0.837 0.157
B: 0.630 0.163 0.343


[19]
VASP calculation (GGA-PBEsol) on a geometry-optimized CrOs2Ru structure.

## Properties
- ΔE_f (eV/atom) = 0.51
- E above lowest polymorph (eV per atom) = 0.0087

Lattice parameters (Å, degrees): 2.785 4.424 4.439 90.00 90.00 90.00
Last column: magnetic moment on the atom in μB.
Element x y z (fractional)
Cr: 0.000 0.500 0.500  1.81
Os: 0.000 0.000 0.000  -0.30
Os: 0.500 0.000 0.500  -0.15
Ru: 0.500 0.500 0.000  -0.08


[20]
VASP calculation (GGA-PBEsol) on a geometry-optimized Bi2PdClO structure.

## Properties
- energy relative to the elements, uncorrected (eV per atom) = 0.479

Lattice parameters (Å, degrees): 4.619 5.233 5.233 90.00 90.00 90.00
Element x y z (fractional)
O: 0.500 0.500 0.500
Bi: 0.000 0.000 0.500
Bi: 0.000 0.500 0.000
Pd: 0.000 0.000 0.000
Cl: 0.500 0.000 0.000


[21]
VASP calculation (GGA-PBEsol) on a geometry-optimized FeOs2Br structure.

## Properties
- energy relative to the elements, uncorrected (eV per atom) = 0.831
- E above lowest polymorph (eV per atom) = 0.0000

Lattice parameters (Å, degrees): 2.672 2.672 11.194 83.15 83.15 60.00
Last column: magnetic moment on the atom in μB.
Element x y z (fractional)
Br: 0.500 0.500 0.500  0.01
Fe: 0.000 0.000 0.000  1.52
Os: 0.274 0.274 0.179  -0.08
Os: 0.726 0.726 0.821  -0.08


[22]
VASP calculation (GGA-PBEsol) on a geometry-optimized LiZnAs2 structure.

## Properties
- ΔE_f (eV/atom) = -0.07

Lattice parameters (Å, degrees): 2.928 2.928 7.705 90.00 90.00 90.00
Element x y z (fractional)
As: 0.000 0.000 0.751
As: 0.000 0.000 0.249
Li: 0.500 0.500 0.000
Zn: 0.500 0.500 0.500


[23]
VASP calculation (GGA-PBEsol) on a geometry-optimized LiLa4Mg structure.

## Properties
- ΔE_f (eV/atom) = 0.34

Lattice parameters (Å, degrees): 6.550 6.550 6.550 60.00 60.00 60.00
Element x y z (fractional)
La: 0.882 0.373 0.373
La: 0.373 0.373 0.373
La: 0.373 0.373 0.882
La: 0.373 0.882 0.373
Li: 0.750 0.750 0.750
Mg: 0.000 0.000 0.000


[24]
VASP calculation (GGA-PBEsol) on a geometry-optimized Ba2FeW structure.

## Properties
- ΔE_f (eV/atom) = 1.46
- E above lowest polymorph (eV per atom) = 0.7361

Lattice parameters (Å, degrees): 3.083 3.083 10.394 90.00 90.00 90.00
Last column: magnetic moment on the atom in μB.
Element x y z (fractional)
Ba: 0.000 0.000 0.757  -0.06
Ba: 0.000 0.000 0.243  -0.06
Fe: 0.500 0.500 0.000  2.84
W: 0.500 0.500 0.500  0.16


[25]
VASP calculation (GGA-PBEsol) on a geometry-optimized SiPtSe2Br structure.

## Properties
- energy relative to the elements, uncorrected (eV per atom) = 0.776
- E above lowest polymorph (eV per atom) = 0.2390

Lattice parameters (Å, degrees): 4.619 4.786 4.786 90.00 90.00 90.00
Element x y z (fractional)
Si: 0.000 0.000 0.000
Se: 0.000 0.000 0.500
Se: 0.000 0.500 0.000
Br: 0.500 0.000 0.000
Pt: 0.500 0.500 0.500


[26]
VASP calculation (GGA-PBEsol) on a geometry-optimized Sr2CaMnRh structure.

## Properties
- ΔE_f (eV/atom) = 1.12

Lattice parameters (Å, degrees): 4.617 6.229 6.229 90.00 90.00 90.00
Last column: magnetic moment on the atom in μB.
Element x y z (fractional)
Sr: 0.000 0.000 0.500  -0.03
Sr: 0.000 0.500 0.000  -0.03
Ca: 0.000 0.000 0.000  -0.03
Mn: 0.500 0.500 0.500  4.33
Rh: 0.500 0.000 0.000  0.04


[27]
VASP calculation (GGA-PBEsol) on a geometry-optimized MnFeHgCl2 structure.

## Properties
- energy relative to the elements, uncorrected (eV per atom) = 0.307

Lattice parameters (Å, degrees): 4.479 4.479 5.122 90.00 90.00 90.00
Last column: magnetic moment on the atom in μB.
Element x y z (fractional)
Cl: 0.000 0.500 0.000  0.08
Cl: 0.500 0.000 0.000  0.08
Mn: 0.000 0.000 0.000  3.10
Hg: 0.500 0.500 0.500  0.03
Fe: 0.000 0.000 0.500  3.18


[28]
VASP calculation (GGA-PBEsol) on a geometry-optimized NaHgAs structure.

## Properties
- ΔE_f (eV/atom) = -0.22

Lattice parameters (Å, degrees): 7.210 7.210 8.177 115.88 115.88 90.57
Element x y z (fractional)
Na: 0.388 0.888 0.776
Na: 0.138 0.138 0.276
Na: 0.112 0.612 0.224
Na: 0.862 0.862 0.724
As: 0.017 0.983 0.500
As: 0.767 0.233 0.000
As: 0.233 0.767 0.000
As: 0.483 0.517 0.500
Hg: 0.625 0.375 0.250
Hg: 0.125 0.375 0.750
Hg: 0.625 0.375 0.750
Hg: 0.625 0.875 0.250


| no. | total DFT energy (no corrections) (eV/atom) | size of the total moment (μB per atom) |
| --- | --- | --- |
| 1 | -3.388 | 0.000 |
| 2 | -5.622 | 0.346 |
| 3 | -2.500 | 0.000 |
| 4 | -9.777 | 0.000 |
| 5 | -9.770 | 0.001 |
| 6 | -5.091 | 0.000 |
| 7 | -6.620 | 0.002 |
| 8 | -3.716 | 0.571 |
| 9 | -7.880 | 0.000 |
| 10 | -7.341 | 0.000 |
| 11 | -2.166 | 0.277 |
| 12 | -5.044 | 0.000 |
| 13 | -8.483 | 0.579 |
| 14 | -6.087 | 0.000 |
| 15 | -5.930 | 0.402 |
| 16 | -8.445 | 0.000 |
| 17 | -6.056 | 0.000 |
| 18 | -7.913 | 0.000 |
| 19 | -10.702 | 0.338 |
| 20 | -3.878 | 0.000 |
| 21 | -7.985 | 0.349 |
| 22 | -3.507 | 0.000 |
| 23 | -3.841 | 0.000 |
| 24 | -5.312 | 0.714 |
| 25 | -3.680 | 0.000 |
| 26 | -3.620 | 0.857 |
| 27 | -4.355 | 1.363 |
| 28 | -2.577 | 0.000 |